Below is crystalline CaReGe3 at its relaxed geometry, with properties calculated at the PBE level.

Cell lengths 4.8889, 4.8889, 4.8889 Å; angles 90.00, 90.00, 90.00 degrees
With the nearest neighbours (Å) after each atom.
Atoms (fractional coordinates):
Ge 0.0000 0.0000 0.5000  2 Re 2.44
Re 0.0000 0.0000 0.0000  6 Ge 2.44
Ge 0.0000 0.5000 0.0000  2 Re 2.44
Ge 0.5000 0.0000 0.0000  2 Re 2.44
Ca 0.5000 0.5000 0.5000  12 Ge 3.46

- calculated formation energy (eV/atom) = 0.112
- energy above the lowest structure with this stoichiometry (eV/atom) = 0.000
- D(E_F) (states/eV/cell) = 4.05
- calculated volume (Å³/cell) = 116.8
- space group = Pm-3m

=====

Below is crystalline CaRe3Ge at its relaxed geometry, with properties calculated at the PBE level.

Cell lengths 4.6521, 4.6521, 4.6521 Å; angles 90.00, 90.00, 90.00 degrees
With the nearest neighbours (Å) after each atom.
Atoms (fractional coordinates):
Ge 0.0000 0.0000 0.0000  6 Re 2.33
Re 0.5000 0.0000 0.0000  2 Ge 2.33
Re 0.0000 0.0000 0.5000  2 Ge 2.33
Re 0.0000 0.5000 0.0000  2 Ge 2.33
Ca 0.5000 0.5000 0.5000  12 Re 3.29

- calculated formation energy (eV/atom) = 1.420
- energy above the lowest structure with this stoichiometry (eV/atom) = 0.000
- D(E_F) (states/eV/cell) = 10.02
- calculated volume (Å³/cell) = 100.7
- space group = Pm-3m

=====

Below is crystalline CaTa2ReGe at its relaxed geometry, with properties calculated at the PBE level.

Cell lengths 4.8604, 4.6548, 4.8604 Å; angles 90.00, 90.00, 90.00 degrees
With the nearest neighbours (Å) after each atom.
Atoms (fractional coordinates):
Re 0.0000 0.5000 0.0000  2 Ge 2.33
Ge 0.0000 0.0000 0.0000  2 Re 2.33, 4 Ta 2.43
Ta 0.0000 0.0000 0.5000  2 Ge 2.43
Ca 0.5000 0.5000 0.5000  8 Ta 3.36, 4 Re 3.44
Ta 0.5000 0.0000 0.0000  2 Ge 2.43

- calculated formation energy (eV/atom) = 1.074
- D(E_F) (states/eV/cell) = 7.05
- calculated volume (Å³/cell) = 110.0
- space group = P4/mmm

=====

Below is crystalline Ca2YReGe at its relaxed geometry, with properties calculated at the PBE level.

Cell lengths 5.4461, 5.4862, 5.4461 Å; angles 90.00, 90.00, 90.00 degrees
With the nearest neighbours (Å) after each atom.
Atoms (fractional coordinates):
Re 0.5000 0.5000 0.5000  4 Y 3.85, 8 Ca 3.87
Ca 0.0000 0.0000 0.5000  2 Ge 2.72
Y 0.0000 0.5000 0.0000  2 Ge 2.74
Ge 0.0000 0.0000 0.0000  4 Ca 2.72, 2 Y 2.74
Ca 0.5000 0.0000 0.0000  2 Ge 2.72

- calculated formation energy (eV/atom) = 0.838
- D(E_F) (states/eV/cell) = 6.89
- calculated volume (Å³/cell) = 162.7
- space group = P4/mmm

=====

Below is crystalline CaGe3Rh at its relaxed geometry, with properties calculated at the PBE level.

Cell lengths 4.8620, 4.8620, 4.8620 Å; angles 90.00, 90.00, 90.00 degrees
With the nearest neighbours (Å) after each atom.
Atoms (fractional coordinates):
Ge 0.5000 0.0000 0.0000  2 Rh 2.43
Ge 0.0000 0.0000 0.5000  2 Rh 2.43
Ca 0.5000 0.5000 0.5000  12 Ge 3.44
Rh 0.0000 0.0000 0.0000  6 Ge 2.43
Ge 0.0000 0.5000 0.0000  2 Rh 2.43

- calculated formation energy (eV/atom) = -0.081
- D(E_F) (states/eV/cell) = 4.02
- calculated volume (Å³/cell) = 114.9
- space group = Pm-3m

=====

Below is crystalline CaGe2Rh2 at its relaxed geometry, with properties calculated at the PBE level.

Cell lengths 4.1870, 4.1870, 5.9929 Å; angles 110.29, 110.29, 90.03 degrees
With the nearest neighbours (Å) after each atom.
Atoms (fractional coordinates):
Rh 0.2497 0.7504 0.5000  4 Ge 2.46
Ge 0.3733 0.3733 0.7473  4 Rh 2.46, 1 Ge 2.64
Ge 0.6267 0.6267 0.2527  4 Rh 2.46, 1 Ge 2.64
Rh 0.7504 0.2497 0.5000  4 Ge 2.46
Ca 0.0000 0.0000 0.0000  8 Ge 3.23-3.25, 8 Rh 3.34-3.35

- calculated formation energy (eV/atom) = -0.808
- D(E_F) (states/eV/cell) = 1.60
- calculated volume (Å³/cell) = 91.6
- space group = C2/m

=====

Below is crystalline Ca2GeRh2 at its relaxed geometry, with properties calculated at the PBE level.

Cell lengths 4.4455, 4.4455, 6.5842 Å; angles 70.27, 70.27, 90.00 degrees
With the nearest neighbours (Å) after each atom.
Atoms (fractional coordinates):
Ca 0.7500 0.2500 0.5000  4 Rh 2.78
Ca 0.2500 0.7500 0.5000  4 Rh 2.78
Rh 0.3938 0.3938 0.2124  1 Rh 2.46
Ge 0.0000 0.0000 0.0000  8 Rh 3.38, 8 Ca 3.65
Rh 0.6062 0.6062 0.7876  1 Rh 2.46

- calculated formation energy (eV/atom) = 0.343
- D(E_F) (states/eV/cell) = 2.63
- calculated volume (Å³/cell) = 114.3
- space group = I4/mmm

=====

Below is crystalline Ca3Ge2Rh3 at its relaxed geometry, with properties calculated at the PBE level.

Cell lengths 5.7865, 7.8829, 14.6254 Å; angles 90.00, 90.00, 90.00 degrees
With the nearest neighbours (Å) after each atom.
Atoms (fractional coordinates):
Rh 0.4230 0.6761 0.2500  2 Ge 2.50
Rh 0.6056 0.3375 0.4613  3 Ge 2.45-2.48
Ca 0.6330 0.0276 0.8925  6 Rh 3.02-3.35, 3 Ge 3.12-3.16
Rh 0.3944 0.6625 0.9613  3 Ge 2.45-2.48
Rh 0.8944 0.8375 0.4613  3 Ge 2.45-2.48
Ca 0.6330 0.0276 0.6075  6 Rh 3.02-3.35, 3 Ge 3.12-3.16
Rh 0.0770 0.1761 0.2500  2 Ge 2.50
Rh 0.1056 0.1625 0.9613  3 Ge 2.45-2.48
Ge 0.1289 0.8741 0.6022  4 Rh 2.45-2.50
Ca 0.1330 0.4724 0.3925  6 Rh 3.02-3.35, 3 Ge 3.12-3.16
Ca 0.0969 0.1708 0.7500  5 Rh 2.91-3.24, 4 Ge 3.12-3.19
Ca 0.3670 0.9724 0.1075  6 Rh 3.02-3.35, 3 Ge 3.12-3.16
Rh 0.3944 0.6625 0.5387  3 Ge 2.45-2.48
Ca 0.8670 0.5276 0.6075  6 Rh 3.02-3.35, 3 Ge 3.12-3.16
Ca 0.9031 0.8292 0.2500  5 Rh 2.91-3.24, 4 Ge 3.12-3.19
Ca 0.5969 0.3292 0.2500  5 Rh 2.91-3.24, 4 Ge 3.12-3.19
Rh 0.1056 0.1625 0.5387  3 Ge 2.45-2.48
Rh 0.5770 0.3239 0.7500  2 Ge 2.50
Ge 0.1289 0.8741 0.8978  4 Rh 2.45-2.50
Rh 0.8944 0.8375 0.0387  3 Ge 2.45-2.48
Ca 0.4031 0.6708 0.7500  5 Rh 2.91-3.24, 4 Ge 3.12-3.19
Ge 0.3711 0.3741 0.6022  4 Rh 2.45-2.50
Ge 0.3711 0.3741 0.8978  4 Rh 2.45-2.50
Ge 0.8711 0.1259 0.1022  4 Rh 2.45-2.50
Ca 0.1330 0.4724 0.1075  6 Rh 3.02-3.35, 3 Ge 3.12-3.16
Ge 0.6289 0.6259 0.1022  4 Rh 2.45-2.50
Ca 0.8670 0.5276 0.8925  6 Rh 3.02-3.35, 3 Ge 3.12-3.16
Ge 0.8711 0.1259 0.3978  4 Rh 2.45-2.50
Ge 0.6289 0.6259 0.3978  4 Rh 2.45-2.50
Rh 0.9230 0.8239 0.7500  2 Ge 2.50
Ca 0.3670 0.9724 0.3925  6 Rh 3.02-3.35, 3 Ge 3.12-3.16
Rh 0.6056 0.3375 0.0387  3 Ge 2.45-2.48

- calculated formation energy (eV/atom) = -0.689
- D(E_F) (states/eV/cell) = 18.78
- calculated volume (Å³/cell) = 667.1
- space group = Pnma

=====

Below is crystalline CaGeRh3 at its relaxed geometry, with properties calculated at the PBE level.

Cell lengths 5.4206, 8.7390, 6.3301 Å; angles 133.65, 115.35, 90.00 degrees
With the nearest neighbours (Å) after each atom.
Atoms (fractional coordinates):
Ca 0.2500 0.2483 0.5000  5 Rh 2.75-2.95
Rh 0.2500 0.9338 0.5000  2 Ge 2.45, 4 Rh 2.70
Rh 0.1938 0.6938 0.8876  2 Ge 2.60, 5 Rh 2.70-2.86
Ge 0.5000 0.0000 0.0000  6 Rh 2.45-2.60
Ca 0.7500 0.7517 0.5000  5 Rh 2.75-2.95
Rh 0.7500 0.0662 0.5000  2 Ge 2.45, 4 Rh 2.70
Rh 0.3062 0.3062 0.1124  2 Ge 2.60, 5 Rh 2.70-2.86
Rh 0.8062 0.3062 0.1124  2 Ge 2.60, 5 Rh 2.70-2.86
Ge 0.0000 0.5000 0.0000  6 Rh 2.45-2.60
Rh 0.6938 0.6938 0.8876  2 Ge 2.60, 5 Rh 2.70-2.86

- calculated formation energy (eV/atom) = -0.382
- energy above the lowest structure with this stoichiometry (eV/atom) = 0.000
- D(E_F) (states/eV/cell) = 10.25
- calculated volume (Å³/cell) = 174.9
- space group = Imma

=====

Below is crystalline CaGe4Rh4 at its relaxed geometry, with properties calculated at the PBE level.

Cell lengths 4.9352, 8.2299, 8.2299 Å; angles 90.00, 90.00, 90.00 degrees
With the nearest neighbours (Å) after each atom.
Atoms (fractional coordinates):
Ge 0.9184 0.6481 0.1829  5 Rh 2.44-2.57, 1 Ge 2.61
Ge 0.4184 0.6829 0.8519  5 Rh 2.44-2.57, 1 Ge 2.61
Rh 0.4089 0.3709 0.8570  5 Ge 2.44-2.57
Ge 0.5816 0.1481 0.6829  5 Rh 2.44-2.57, 1 Ge 2.61
Ca 0.0000 0.0000 0.0000  4 Rh 3.16, 4 Ge 3.29
Rh 0.0911 0.1291 0.6430  5 Ge 2.44-2.57
Ge 0.0816 0.8171 0.6481  5 Rh 2.44-2.57, 1 Ge 2.61
Rh 0.4089 0.6291 0.1430  5 Ge 2.44-2.57
Ge 0.5816 0.8519 0.3171  5 Rh 2.44-2.57, 1 Ge 2.61
Ca 0.5000 0.5000 0.5000  4 Rh 3.16, 4 Ge 3.29
Rh 0.5911 0.8570 0.6291  5 Ge 2.44-2.57
Rh 0.9089 0.6430 0.8709  5 Ge 2.44-2.57
Rh 0.5911 0.1430 0.3709  5 Ge 2.44-2.57
Rh 0.9089 0.3570 0.1291  5 Ge 2.44-2.57
Ge 0.0816 0.1829 0.3519  5 Rh 2.44-2.57, 1 Ge 2.61
Rh 0.0911 0.8709 0.3570  5 Ge 2.44-2.57
Ge 0.4184 0.3171 0.1481  5 Rh 2.44-2.57, 1 Ge 2.61
Ge 0.9184 0.3519 0.8171  5 Rh 2.44-2.57, 1 Ge 2.61

- calculated formation energy (eV/atom) = -0.491
- D(E_F) (states/eV/cell) = 10.80
- calculated volume (Å³/cell) = 334.3
- space group = P4_2/n

=====

Below is crystalline CaGe2Rh2 at its relaxed geometry, with properties calculated at the PBE level.

Cell lengths 4.2994, 4.2994, 5.9372 Å; angles 68.77, 68.77, 90.00 degrees
With the nearest neighbours (Å) after each atom.
Atoms (fractional coordinates):
Rh 0.3715 0.3715 0.2570  4 Ge 2.48, 1 Rh 2.62
Ca 0.0000 0.0000 0.0000  8 Rh 3.31, 8 Ge 3.34
Rh 0.6285 0.6285 0.7430  4 Ge 2.48, 1 Rh 2.62
Ge 0.7500 0.2500 0.5000  4 Rh 2.48
Ge 0.2500 0.7500 0.5000  4 Rh 2.48

- calculated formation energy (eV/atom) = -0.560
- D(E_F) (states/eV/cell) = 4.25
- calculated volume (Å³/cell) = 94.3
- space group = I4/mmm

=====

Below is crystalline CaGe3Rh at its relaxed geometry, with properties calculated at the PBE level.

Cell lengths 5.1367, 5.1367, 5.1367 Å; angles 90.00, 90.00, 90.00 degrees
With the nearest neighbours (Å) after each atom.
Atoms (fractional coordinates):
Ca 0.0000 0.0000 0.0000  6 Ge 2.57
Ge 0.0000 0.0000 0.5000  2 Ca 2.57
Rh 0.5000 0.5000 0.5000  12 Ge 3.63
Ge 0.5000 0.0000 0.0000  2 Ca 2.57
Ge 0.0000 0.5000 0.0000  2 Ca 2.57

- calculated formation energy (eV/atom) = 1.465
- D(E_F) (states/eV/cell) = 5.10
- calculated volume (Å³/cell) = 135.5
- space group = Pm-3m